# 1
This record from Alexandria describes a relaxed Ca2ZrTe crystal. The functional is GGA-PBE.

It has space group Cmmm (No. 65), with a = 6.331 Å, b = 9.855 Å, c = 3.718 Å, α = 90.00°, β = 90.00° and γ = 90.00°. The asymmetric unit holds Ca at (0.250, 0.250, 0.000), Zr at (0.000, 0.000, 0.500) and Te at (0.000, 0.500, 0.500).

The calculation puts the formation energy without anion corrections at -0.179 eV/atom.

=====

# 2
This record from Alexandria describes a relaxed Ac2CdAg6 crystal. The functional is GGA-PBE.

It has space group P-3m1 (No. 164), with a = 6.4204 Å, b = 6.4204 Å, c = 6.1473 Å, α = 90.00°, β = 90.00° and γ = 120.00°. The asymmetric unit holds Ac at (0.3333, 0.6667, 0.3396), Cd at (0.0000, 0.0000, 0.5000) and Ag at (0.1821, 0.3643, 0.8344).

For the formation energy, the calculation gives -19.74 kJ per mole of atoms.

=====

# 3
This record from Alexandria describes a relaxed La7Pm6 crystal. The functional is GGA-PBE.

It has space group R-3m (No. 166, hexagonal axes), with a = 6.7550 Å, b = 6.7550 Å, c = 34.9866 Å, α = 90.00°, β = 90.00° and γ = 120.00°. The asymmetric unit holds La at (0.0000, 0.0000, 0.0000), La at (0.0187, 0.5093, 0.4116), Pm at (0.0000, 0.0000, 0.1646), Pm at (0.0000, 0.0000, 0.3524) and Pm at (0.0000, 0.0000, 0.4549).

For the formation energy, the calculation gives 17.89 kJ per mole of atoms.

=====

# 4
This record from Alexandria describes a relaxed CaZrSe2 crystal. The functional is GGA-PBE.

It has space group I-42d (No. 122), with a = 6.391 Å, b = 6.391 Å, c = 12.219 Å, α = 90.00°, β = 90.00° and γ = 90.00°. The asymmetric unit holds Ca at (0.000, 0.000, 0.000), Zr at (0.000, 0.000, 0.500) and Se at (0.225, 0.250, 0.625).

The calculation puts the formation energy without anion corrections at -1.090 eV/atom.